(1)
This record from Alexandria describes a geometry-optimized Pa4GePSe2 structure. The functional is PBE-GGA.

Structure (POSCAR):
```
Pa4GePSe2
1.0
-3.0015 1.0611 2.6065
3.9565 -2.0419 5.3872
1.1637 6.7839 -1.4218
Ge Pa Se P
1 4 2 1
direct
0.5000 0.5000 0.0000
0.0000 0.7570 0.2430
0.5000 0.7637 0.7642
0.0000 0.2430 0.7570
0.5000 0.2363 0.2358
0.0000 0.5000 0.5000
0.5000 0.0000 0.5000
0.0000 0.0000 0.0000
```

Calculated values
Total magnetization: 0.00 μB/cell
Space-group type: P2/m
Formation energy (no corrections): -1.0815 eV/atom
Uncorrected energy: -63.63 eV per cell


(2)
This record from Alexandria describes a geometry-optimized Pa4SiGeP2 structure. The functional is PBE-GGA.

Structure (POSCAR):
```
Pa4SiGeP2
1.0
4.0429 0.0000 0.0000
0.0000 6.9908 -0.1340
0.0000 2.4649 6.5490
P Si Pa Ge
2 1 4 1
direct
0.0000 0.0000 0.0000
0.5000 0.0000 0.5000
0.5000 0.5000 0.0000
0.5000 0.7597 0.2441
0.5000 0.2403 0.7559
0.0000 0.2424 0.2498
0.0000 0.7576 0.7502
0.0000 0.5000 0.5000
```

Calculated values
Total magnetization: 0.00 μB/cell
Space-group type: P2/m
Formation energy (no corrections): -0.8626 eV/atom
Uncorrected energy: -65.74 eV per cell


(3)
This record from Alexandria describes a geometry-optimized TbPaGeP structure. The functional is PBE-GGA.

Structure (POSCAR):
```
TbPaGeP
1.0
4.0909 0.0000 0.0000
2.0454 3.5428 0.0000
2.0454 1.1809 6.5940
Ge Pa P Tb
1 1 1 1
direct
0.4415 0.4415 0.6755
0.6917 0.6917 0.9248
0.9465 0.9465 0.1605
0.1967 0.1967 0.4100
```

Calculated values
Total magnetization: 0.00 μB/cell
Space-group type: R3m
ΔE_f: -1.039 eV/atom
Uncorrected energy: -28.31 eV per cell


(4)
This record from Alexandria describes a geometry-optimized Pa4GeTe2P structure. The functional is PBE-GGA.

Structure (POSCAR):
```
Pa4GeTe2P
1.0
4.1406 0.0000 0.0000
0.0000 7.0869 0.0935
0.0000 -2.5118 7.0886
Te Pa Ge P
2 4 1 1
direct
0.5000 0.0000 0.5000
0.0000 0.5000 0.5000
0.0000 0.2745 0.7893
0.0000 0.7255 0.2107
0.5000 0.7494 0.7828
0.5000 0.2506 0.2172
0.0000 0.0000 0.0000
0.5000 0.5000 0.0000
```

Calculated values
Total magnetization: 0.00 μB/cell
Space-group type: P2/m
Formation energy (no corrections): -0.8014 eV/atom
Uncorrected energy: -60.71 eV per cell


(5)
This record from Alexandria describes a geometry-optimized GeP2Pb structure. The functional is PBE-GGA.

Structure (POSCAR):
```
GeP2Pb
1.0
3.8268 0.0000 0.0000
1.9134 3.3141 0.0000
1.9134 1.1047 6.5494
Pb P Ge
1 2 1
direct
0.5000 0.5000 0.5000
0.7357 0.7357 0.7928
0.2643 0.2643 0.2072
0.0000 0.0000 0.0000
```

Calculated values
Total magnetization: 0.00 μB/cell
Space-group type: R-3m
ΔE_f: 0.174 eV/atom
Uncorrected energy: -18.45 eV per cell


(6)
This record from Alexandria describes a geometry-optimized Ge2PPb2 structure. The functional is PBE-GGA.

Structure (POSCAR):
```
Ge2PPb2
1.0
-0.0211 -2.8134 6.0888
5.6410 -3.3017 -1.5060
2.8993 4.0874 1.8987
Ge P Pb
4 2 4
direct
0.3585 0.8585 0.0000
0.6415 0.1415 0.0000
0.8585 0.6415 0.0000
0.1415 0.3585 0.0000
0.0000 0.0000 0.0000
0.5000 0.5000 0.0000
0.3096 0.1904 0.5000
0.1904 0.6904 0.5000
0.6904 0.8096 0.5000
0.8096 0.3096 0.5000
```

Calculated values
Total magnetization: 0.00 μB/cell
Space-group type: P4/mbm
ΔE_f: 0.271 eV/atom
Uncorrected energy: -41.41 eV per cell


(7)
This record from Alexandria describes a geometry-optimized GeP2Pb structure. The functional is PBE-GGA.

Structure (POSCAR):
```
GeP2Pb
1.0
6.8269 0.0000 0.0000
0.0000 6.8269 0.0000
3.4135 3.4135 4.1743
Ge P Pb
2 4 2
direct
0.2500 0.7500 0.5000
0.5000 0.5000 0.0000
0.1960 0.6250 0.2500
0.3750 0.4460 0.7500
0.8750 0.8040 0.7500
0.5540 0.1250 0.2500
0.0000 0.0000 0.0000
0.7500 0.2500 0.5000
```

Calculated values
Total magnetization: 0.00 μB/cell
Space-group type: I-42d
ΔE_f: 0.118 eV/atom
Uncorrected energy: -37.35 eV per cell


(8)
This record from Alexandria describes a geometry-optimized GeP2Pb structure. The functional is PBE-GGA.

Structure (POSCAR):
```
GeP2Pb
1.0
-1.7703 -0.1637 4.5141
-4.0161 2.4800 1.1221
-4.1400 -2.3649 0.8978
Ge P Pb
1 2 1
direct
0.0000 0.0000 0.0000
0.2500 0.2500 0.2500
0.7500 0.7500 0.7500
0.5000 0.5000 0.5000
```

Calculated values
Total magnetization: 0.00 μB/cell
Space-group type: Fm-3m
ΔE_f: 0.534 eV/atom
Uncorrected energy: -17.01 eV per cell